i:
A relaxed PSCl2F crystal, computed with PBE.

Output
D(E_F): 0.724 states/eV per atom
space-group type: P4/mmm (123)
total magnetization: 2.3 μB per cell

Cell and atoms, written as extended XYZ:
```
5
Lattice="5.396 0.000 0.000 0.000 5.396 0.000 0.000 0.000 3.597" Properties=species:S:1:pos:R:3 pbc="T T T"
P 0.000 0.000 0.000
S 2.698 2.698 0.000
Cl 0.000 2.698 1.798
Cl 2.698 0.000 1.798
F 2.698 2.698 1.798
```

=====

ii:
A relaxed PSCl2F crystal, computed with PBE.

Output
D(E_F): 0.376 states/eV per atom
space-group type: P4/mmm (123)
total magnetization: 2.8 μB per cell

Cell and atoms, written as extended XYZ:
```
5
Lattice="5.549 0.000 0.000 0.000 5.549 0.000 0.000 0.000 3.617" Properties=species:S:1:pos:R:3 pbc="T T T"
P 0.000 0.000 0.000
S 2.775 2.775 0.000
Cl 0.000 2.775 1.809
Cl 2.775 0.000 1.809
F 0.000 0.000 1.809
```

=====

Which structure wins on stability? ii wins.

=====

i:
A relaxed P2SClF crystal, computed with PBE.

Output
D(E_F): 0.751 states/eV per atom
space-group type: P4/mmm (123)
total magnetization: 0.8 μB per cell

Cell and atoms, written as extended XYZ:
```
5
Lattice="4.117 0.000 0.000 0.000 4.117 0.000 0.000 0.000 5.530" Properties=species:S:1:pos:R:3 pbc="T T T"
P 0.000 2.059 0.000
P 2.059 0.000 0.000
S 0.000 0.000 2.765
Cl 2.059 2.059 2.765
F 2.059 2.059 0.000
```

=====

ii:
A relaxed P2SClF crystal, computed with PBE.

Output
D(E_F): 0.915 states/eV per atom
space-group type: P4/mmm (123)
total magnetization: 1.8 μB per cell

Cell and atoms, written as extended XYZ:
```
5
Lattice="4.081 0.000 0.000 0.000 4.081 0.000 0.000 0.000 6.209" Properties=species:S:1:pos:R:3 pbc="T T T"
P 0.000 2.040 0.000
P 2.040 0.000 0.000
S 0.000 0.000 3.105
Cl 2.040 2.040 3.105
F 0.000 0.000 0.000
```

=====

Which structure wins on stability? i wins.

=====

i:
A relaxed SbPCl2F crystal, computed with PBE.

Output
D(E_F): 0.884 states/eV per atom
space-group type: P4/mmm (123)
total magnetization: 0.7 μB per cell

Cell and atoms, written as extended XYZ:
```
5
Lattice="5.483 0.000 0.000 0.000 5.483 0.000 0.000 0.000 3.610" Properties=species:S:1:pos:R:3 pbc="T T T"
Sb 0.000 0.000 0.000
P 2.742 2.742 0.000
Cl 0.000 2.742 1.805
Cl 2.742 0.000 1.805
F 2.742 2.742 1.805
```

=====

ii:
A relaxed SbPCl2F crystal, computed with PBE.

Output
D(E_F): 1.576 states/eV per atom
space-group type: P4/mmm (123)
total magnetization: 1.5 μB per cell

Cell and atoms, written as extended XYZ:
```
5
Lattice="5.129 0.000 0.000 0.000 5.129 0.000 0.000 0.000 5.495" Properties=species:S:1:pos:R:3 pbc="T T T"
Sb 0.000 0.000 0.000
P 0.000 0.000 2.748
Cl 0.000 2.565 0.000
Cl 2.565 0.000 0.000
F 2.565 2.565 2.748
```

=====

Which structure wins on stability? i wins.